Run w
VASP calculation (PBE) on a relaxed BaBiPd3 crystal.

Output
- Total magnetic moment: 0.0 μB per cell
- SG: Pm-3m
- Mass density: 7.21 g/cm3

Cell: 5.352 5.352 5.352 Å, 90.00 90.00 90.00°
Fractional coordinates of all 5 atoms:
Ba1 0.000 0.000 0.000
Bi1 0.500 0.500 0.500
Pd1 0.000 0.000 0.500
Pd2 0.000 0.500 0.000
Pd3 0.500 0.000 0.000

Run x
VASP calculation (PBE) on a relaxed BaBiPd3 crystal.

Output
- Total magnetic moment: 0.0 μB per cell
- SG: Imma
- Mass density: 8.57 g/cm3

Cell: 7.275 7.275 7.275 Å, 132.95 96.24 102.13°
Fractional coordinates of all 10 atoms:
Ba1 0.284 0.034 0.250
Ba2 0.716 0.966 0.750
Bi1 0.000 0.500 0.500
Bi2 0.500 0.500 0.000
Pd1 0.095 0.345 0.750
Pd2 0.229 0.000 0.729
Pd3 0.229 0.500 0.229
Pd4 0.771 0.000 0.271
Pd5 0.771 0.500 0.771
Pd6 0.905 0.655 0.250

The calculated energies rank the structures as follows, beginning with the most stable: run x, run w.

Run w
VASP calculation (PBE) on a relaxed Ba2BiPd3 crystal.

Output
- Total magnetic moment: 0.0 μB per cell
- SG: Fmmm
- Mass density: 7.40 g/cm3

Cell: 9.371 9.324 6.687 Å, 69.42 68.67 41.92°
Fractional coordinates of all 12 atoms:
Ba1 0.241 0.759 0.241
Ba2 0.250 0.250 0.250
Ba3 0.750 0.750 0.750
Ba4 0.759 0.241 0.759
Bi1 0.336 0.336 0.664
Bi2 0.664 0.664 0.336
Pd1 0.162 0.672 0.838
Pd2 0.166 0.166 0.834
Pd3 0.328 0.838 0.672
Pd4 0.672 0.162 0.328
Pd5 0.834 0.834 0.166
Pd6 0.838 0.328 0.162

Run x
VASP calculation (PBE) on a relaxed Ba2BiPd3 crystal.

Output
- Total magnetic moment: 0.0 μB per cell
- SG: P6_3/mmc
- Mass density: 7.43 g/cm3

Cell: 4.644 4.644 19.225 Å, 90.00 90.00 120.00°
Fractional coordinates of all 12 atoms:
Ba1 0.000 0.000 0.114
Ba2 0.000 0.000 0.386
Ba3 0.000 0.000 0.614
Ba4 0.000 0.000 0.886
Bi1 0.333 0.667 0.250
Bi2 0.667 0.333 0.750
Pd1 0.333 0.667 0.000
Pd2 0.333 0.667 0.500
Pd3 0.333 0.667 0.750
Pd4 0.667 0.333 0.000
Pd5 0.667 0.333 0.250
Pd6 0.667 0.333 0.500

The calculated energies rank the structures as follows, beginning with the most stable: run x, run w.

Run w
VASP calculation (PBE) on a relaxed Ba2Bi3Pd2 crystal.

Output
- Total magnetic moment: 0.0 μB per cell
- SG: Cmcm
- Mass density: 8.59 g/cm3

Cell: 11.197 11.197 7.637 Å, 90.00 90.00 153.25°
Fractional coordinates of all 14 atoms:
Ba1 0.040 0.960 0.750
Ba2 0.163 0.837 0.250
Ba3 0.837 0.163 0.750
Ba4 0.960 0.040 0.250
Bi1 0.217 0.783 0.750
Bi2 0.424 0.576 0.543
Bi3 0.424 0.576 0.957
Bi4 0.576 0.424 0.043
Bi5 0.576 0.424 0.457
Bi6 0.783 0.217 0.250
Pd1 0.295 0.705 0.053
Pd2 0.295 0.705 0.447
Pd3 0.705 0.295 0.553
Pd4 0.705 0.295 0.947

Run x
VASP calculation (PBE) on a relaxed Ba2Bi3Pd2 crystal.

Output
- Total magnetic moment: 0.0 μB per cell
- SG: C2/m
- Mass density: 8.66 g/cm3

Cell: 6.415 6.415 8.064 Å, 109.67 109.67 43.73°
Fractional coordinates of all 7 atoms:
Ba1 0.151 0.151 0.290
Ba2 0.849 0.849 0.710
Bi1 0.376 0.376 0.052
Bi2 0.500 0.500 0.500
Bi3 0.624 0.624 0.948
Pd1 0.138 0.138 0.766
Pd2 0.862 0.862 0.234

The calculated energies rank the structures as follows, beginning with the most stable: run w, run x.

Run w
VASP calculation (PBE) on a relaxed BaTl2BiPd crystal.

Output
- Total magnetic moment: 0.0 μB per cell
- SG: P4/mmm
- Mass density: 8.58 g/cm3

Cell: 5.365 5.365 5.790 Å, 90.00 90.00 90.00°
Fractional coordinates of all 5 atoms:
Ba1 0.000 0.000 0.000
Tl1 0.000 0.500 0.500
Tl2 0.500 0.000 0.500
Bi1 0.500 0.500 0.000
Pd1 0.500 0.500 0.500

Run x
VASP calculation (PBE) on a relaxed BaTl2BiPd crystal.

Output
- Total magnetic moment: 0.0 μB per cell
- SG: P4/mmm
- Mass density: 8.31 g/cm3

Cell: 5.335 5.335 6.046 Å, 90.00 90.00 90.00°
Fractional coordinates of all 5 atoms:
Ba1 0.000 0.000 0.000
Tl1 0.000 0.500 0.500
Tl2 0.500 0.000 0.500
Bi1 0.500 0.500 0.000
Pd1 0.000 0.000 0.500

The calculated energies rank the structures as follows, beginning with the most stable: run x, run w.

Run w
VASP calculation (PBE) on a relaxed BaPmBi2 crystal.

Output
- Total magnetic moment: 0.0 μB per cell
- SG: Fm-3m
- Mass density: 8.19 g/cm3

Cell: 5.855 5.855 5.855 Å, 60.00 60.00 60.00°
Fractional coordinates of all 4 atoms:
Ba1 0.000 0.000 0.000
Pm1 0.500 0.500 0.500
Bi1 0.250 0.250 0.250
Bi2 0.750 0.750 0.750

Run x
VASP calculation (PBE) on a relaxed BaPmBi2 crystal.

Output
- Total magnetic moment: 0.0 μB per cell
- SG: R3m
- Mass density: 7.07 g/cm3

Cell: 8.397 8.397 8.397 Å, 33.94 33.94 33.94°
Fractional coordinates of all 4 atoms:
Ba1 0.000 0.000 0.000
Pm1 0.172 0.172 0.172
Bi1 0.431 0.431 0.431
Bi2 0.575 0.575 0.575

Run y
VASP calculation (PBE) on a relaxed BaPmBi2 crystal.

Output
- Total magnetic moment: 0.5 μB per cell
- SG: R-3m
- Mass density: 6.87 g/cm3

Cell: 11.753 11.753 11.753 Å, 20.19 20.19 20.19°
Fractional coordinates of all 4 atoms:
Ba1 0.000 0.000 0.000
Pm1 0.500 0.500 0.500
Bi1 0.100 0.100 0.100
Bi2 0.900 0.900 0.900

Run z
VASP calculation (PBE) on a relaxed BaPmBi2 crystal.

Output
- Total magnetic moment: 0.0 μB per cell
- SG: P4/mmm
- Mass density: 8.20 g/cm3

Cell: 4.016 4.016 8.790 Å, 90.00 90.00 90.00°
Fractional coordinates of all 4 atoms:
Ba1 0.000 0.000 0.000
Pm1 0.000 0.000 0.500
Bi1 0.500 0.500 0.279
Bi2 0.500 0.500 0.721

The calculated energies rank the structures as follows, beginning with the most stable: run z, run x, run w, run y.

Run w
VASP calculation (PBE) on a relaxed BaPm2Bi crystal.

Output
- Total magnetic moment: 0.0 μB per cell
- SG: R-3m
- Mass density: 5.97 g/cm3

Cell: 11.686 11.686 11.686 Å, 20.84 20.84 20.84°
Fractional coordinates of all 4 atoms:
Ba1 0.000 0.000 0.000
Pm1 0.109 0.109 0.109
Pm2 0.891 0.891 0.891
Bi1 0.500 0.500 0.500

Run x
VASP calculation (PBE) on a relaxed BaPm2Bi crystal.

Output
- Total magnetic moment: 0.0 μB per cell
- SG: P4/mmm
- Mass density: 7.74 g/cm3

Cell: 5.184 5.184 5.078 Å, 90.00 90.00 90.00°
Fractional coordinates of all 4 atoms:
Ba1 0.000 0.000 0.000
Pm1 0.000 0.500 0.500
Pm2 0.500 0.000 0.500
Bi1 0.500 0.500 0.000

The calculated energies rank the structures as follows, beginning with the most stable: run x, run w.

Run w
VASP calculation (PBE) on a relaxed BaPrBi2 crystal.

Output
- Total magnetic moment: 0.0 μB per cell
- SG: R3m
- Mass density: 7.08 g/cm3

Cell: 9.024 9.024 9.024 Å, 30.06 30.06 30.06°
Fractional coordinates of all 4 atoms:
Ba1 0.000 0.000 0.000
Pr1 0.172 0.172 0.172
Bi1 0.577 0.577 0.577
Bi2 0.762 0.762 0.762

Run x
VASP calculation (PBE) on a relaxed BaPrBi2 crystal.

Output
- Total magnetic moment: 0.0 μB per cell
- SG: R-3m
- Mass density: 7.15 g/cm3

Cell: 8.750 8.750 8.750 Å, 31.43 31.43 31.43°
Fractional coordinates of all 4 atoms:
Ba1 0.000 0.000 0.000
Pr1 0.500 0.500 0.500
Bi1 0.241 0.241 0.241
Bi2 0.759 0.759 0.759

Run y
VASP calculation (PBE) on a relaxed BaPrBi2 crystal.

Output
- Total magnetic moment: 0.0 μB per cell
- SG: P4/mmm
- Mass density: 8.00 g/cm3

Cell: 4.052 4.052 8.804 Å, 90.00 90.00 90.00°
Fractional coordinates of all 4 atoms:
Ba1 0.000 0.000 0.000
Pr1 0.000 0.000 0.500
Bi1 0.500 0.500 0.276
Bi2 0.500 0.500 0.724

The calculated energies rank the structures as follows, beginning with the most stable: run x, run w, run y.

Run w
VASP calculation (PBE) on a relaxed Ba2BiPt2 crystal.

Output
- Total magnetic moment: 0.0 μB per cell
- SG: I4/mmm
- Mass density: 8.87 g/cm3

Cell: 6.055 6.055 6.055 Å, 116.89 116.89 95.47°
Fractional coordinates of all 5 atoms:
Ba1 0.250 0.750 0.500
Ba2 0.750 0.250 0.500
Bi1 0.000 0.000 0.000
Pt1 0.343 0.343 0.000
Pt2 0.657 0.657 0.000

Run x
VASP calculation (PBE) on a relaxed Ba2BiPt2 crystal.

Output
- Total magnetic moment: 0.0 μB per cell
- SG: I4/mmm
- Mass density: 9.30 g/cm3

Cell: 10.435 10.435 10.435 Å, 158.24 158.24 30.96°
Fractional coordinates of all 5 atoms:
Ba1 0.124 0.124 0.000
Ba2 0.876 0.876 0.000
Bi1 0.500 0.500 0.000
Pt1 0.250 0.750 0.500
Pt2 0.750 0.250 0.500

The calculated energies rank the structures as follows, beginning with the most stable: run w, run x.